The following is a DFT calculation (GGA-PBE) of a geometry-optimized Nd2DyTi structure.

Structure (POSCAR):
```
Nd2DyTi
1.0
-0.5246 1.5896 2.9630
-3.1405 0.1879 1.2975
0.5713 -9.6779 7.2475
Ti Nd Dy
1 2 1
Cartesian
0.0000 0.0000 0.0000 Ti
-3.2200 -0.7721 5.7072 Nd
0.1262 -7.1282 5.8009 Nd
-1.5469 -3.9502 5.7540 Dy
```

Energy = -20.22 eV per cell
DOS at the Fermi energy = 1.715 states/eV per atom


The following is a DFT calculation (GGA-PBE) of a geometry-optimized NdDy2Ti structure.

Structure (POSCAR):
```
NdDy2Ti
1.0
3.3776 0.0000 0.0000
1.6888 2.9251 0.0000
1.6888 0.9750 11.8509
Nd Dy Ti
1 2 1
Cartesian
3.3776 1.9500 5.9255 Nd
1.6888 0.9750 8.9183 Dy
5.0664 2.9251 2.9327 Dy
0.0000 0.0000 0.0000 Ti
```

Energy = -20.12 eV per cell
DOS at the Fermi energy = 1.322 states/eV per atom


The following is a DFT calculation (GGA-PBE) of a geometry-optimized Nd2DyTi structure.

Structure (POSCAR):
```
Nd2DyTi
1.0
3.9375 0.0000 0.0000
0.0000 3.9375 0.0000
0.0000 0.0000 7.4918
Nd Ti Dy
2 1 1
Cartesian
0.0000 0.0000 5.8743 Nd
0.0000 0.0000 1.6175 Nd
1.9687 1.9687 0.0000 Ti
1.9687 1.9687 3.7459 Dy
```

Energy = -21.10 eV per cell
DOS at the Fermi energy = 1.439 states/eV per atom


The following is a DFT calculation (GGA-PBE) of a geometry-optimized NdDy2Ti structure.

Structure (POSCAR):
```
NdDy2Ti
1.0
-0.8255 1.0672 3.1273
-2.5932 -2.2071 0.0686
5.9034 -6.8155 3.8843
Nd Ti Dy
1 1 2
Cartesian
1.2423 -3.9777 3.5401 Nd
-1.7094 -0.5699 1.5980 Ti
4.6536 -5.3726 3.0619 Dy
1.2498 -1.4429 0.8223 Dy
```

Energy = -21.22 eV per cell
DOS at the Fermi energy = 1.599 states/eV per atom


The following is a DFT calculation (GGA-PBE) of a geometry-optimized NdDy6Tl2 structure.

Structure (POSCAR):
```
NdDy6Tl2
1.0
-3.4638 1.2723 0.7140
-2.5540 -4.0277 4.6792
2.1143 5.4917 10.3646
Tl Dy Nd
2 6 1
Cartesian
-2.9474 1.3617 12.9531 Tl
-0.9562 1.3745 2.8047 Tl
-3.3873 -0.4357 4.1288 Dy
-1.8804 0.3756 9.9935 Dy
0.5110 2.2881 8.2946 Dy
-2.0231 2.3606 5.7642 Dy
-0.5162 3.1719 11.6290 Dy
-4.4146 0.4481 7.4631 Dy
0.0000 0.0000 0.0000 Nd
```

Energy = -38.39 eV per cell
DOS at the Fermi energy = 1.360 states/eV per atom


The following is a DFT calculation (GGA-PBE) of a geometry-optimized Nd2DyTl2 structure.

Structure (POSCAR):
```
Nd2DyTl2
1.0
4.9255 0.0000 0.0000
2.4628 5.6927 -0.1070
2.4628 1.4214 5.5134
Nd Dy Tl
2 1 2
Cartesian
7.3883 4.9272 3.7445 Nd
2.4628 2.1869 1.6620 Nd
0.0000 0.0000 0.0000 Dy
4.9255 4.4965 1.4670 Tl
4.9255 2.6176 3.9395 Tl
```

Energy = -20.30 eV per cell
DOS at the Fermi energy = 1.161 states/eV per atom


The following is a DFT calculation (GGA-PBE) of a geometry-optimized Nd2DyTl structure.

Structure (POSCAR):
```
Nd2DyTl
1.0
-2.6745 4.6724 -1.4327
-2.8779 0.2127 -4.7654
-5.5660 0.1698 0.1125
Nd Dy Tl
2 1 1
Cartesian
-2.7805 1.2634 -1.5209 Nd
-5.5658 0.1698 0.1123 Nd
-5.5595 2.5273 -3.0426 Dy
-8.3378 3.7915 -4.5648 Tl
```

Energy = -16.61 eV per cell
DOS at the Fermi energy = 1.390 states/eV per atom


The following is a DFT calculation (GGA-PBE) of a geometry-optimized NdDy2Tl structure.

Structure (POSCAR):
```
NdDy2Tl
1.0
-2.5875 -1.0981 -2.3310
-1.6858 -1.7769 2.7083
-4.9008 7.5326 1.8917
Dy Nd Tl
2 1 1
Cartesian
-3.8046 5.8476 1.4685 Dy
-1.0963 1.6850 0.4231 Dy
-4.5870 2.3288 1.1345 Nd
-2.1366 -1.4375 0.1887 Tl
```

Energy = -17.03 eV per cell
DOS at the Fermi energy = 1.061 states/eV per atom


The following is a DFT calculation (GGA-PBE) of a geometry-optimized Nd2Dy8Tl structure.

Structure (POSCAR):
```
Nd2Dy8Tl
1.0
4.9713 0.0000 0.0000
0.0000 7.9000 0.4545
-2.4856 -2.8935 8.5767
Dy Nd Tl
8 2 1
Cartesian
0.0000 -1.1304 5.5234 Dy
2.4856 2.9906 1.7254 Dy
0.0000 2.0158 7.3058 Dy
0.0000 5.4536 1.0896 Dy
2.4856 4.4008 6.6515 Dy
0.0000 0.6057 2.3797 Dy
2.4856 -0.4472 7.9416 Dy
2.4856 6.1369 3.5078 Dy
0.0000 3.7344 4.0973 Nd
2.4856 1.2720 4.9338 Nd
2.4856 0.0000 0.0000 Tl
```

Energy = -49.07 eV per cell
DOS at the Fermi energy = 1.358 states/eV per atom


The following is a DFT calculation (GGA-PBE) of a geometry-optimized NdDy6Tl5 structure.

Structure (POSCAR):
```
NdDy6Tl5
1.0
-3.4700 -2.6928 -2.4877
-1.4628 -4.7735 7.2081
-2.9469 8.6860 -0.1788
Nd Tl Dy
1 5 6
Cartesian
0.0000 0.0000 0.0000 Nd
-4.4233 -1.9412 3.1498 Tl
-0.7314 -2.3867 3.6040 Tl
-4.5274 1.0847 5.1326 Tl
-3.4564 3.1608 1.3918 Tl
-3.3523 0.1350 -0.5911 Tl
-2.9193 -1.8199 6.0394 Dy
-2.7941 -4.8027 3.9752 Dy
-2.2325 0.4214 2.6551 Dy
-4.9604 3.0395 -1.4978 Dy
-5.6472 0.7983 1.8865 Dy
-2.1387 -2.6637 0.7452 Dy
```

Energy = -47.48 eV per cell
DOS at the Fermi energy = 1.004 states/eV per atom


The following is a DFT calculation (GGA-PBE) of a geometry-optimized Nd4DyTl2 structure.

Structure (POSCAR):
```
Nd4DyTl2
1.0
5.8529 -1.5334 -1.9718
-2.0615 5.6884 -1.9719
-0.9681 -1.0610 8.5997
Tl Nd Dy
2 4 1
Cartesian
2.3559 2.5818 -0.4270 Tl
0.4674 0.5122 5.0830 Tl
2.9265 -0.7667 -0.9859 Nd
3.0738 0.0303 2.3281 Nd
-1.0308 2.8442 -0.9860 Nd
-0.2505 3.0636 2.3280 Nd
0.0000 0.0000 0.0000 Dy
```

Energy = -27.88 eV per cell
DOS at the Fermi energy = 1.462 states/eV per atom


The following is a DFT calculation (GGA-PBE) of a geometry-optimized Nd3Dy3Tl structure.

Structure (POSCAR):
```
Nd3Dy3Tl
1.0
5.6325 0.0000 0.0000
0.0000 9.5528 -0.0168
0.0000 -4.7645 8.2761
Tl Nd Dy
2 6 6
Cartesian
1.4081 4.7804 2.7461 Tl
4.2243 0.0079 5.5132 Tl
1.4081 2.0039 5.2221 Nd
1.4081 -0.7419 7.3882 Nd
4.2243 2.7844 3.0372 Nd
4.2243 6.0313 4.3307 Nd
4.2243 5.5302 0.8711 Nd
1.4081 -1.2431 3.9286 Nd
4.2243 -2.7937 7.7803 Dy
1.4081 7.5819 0.4790 Dy
1.4081 5.3435 6.3034 Dy
4.2243 3.3743 6.8005 Dy
1.4081 1.4140 1.4589 Dy
4.2243 -0.5553 1.9560 Dy
```

Energy = -61.96 eV per cell
DOS at the Fermi energy = 1.357 states/eV per atom


The following is a DFT calculation (GGA-PBE) of a geometry-optimized Nd4Dy5Tl structure.

Structure (POSCAR):
```
Nd4Dy5Tl
1.0
-5.0944 -0.6886 2.8071
1.1806 -2.8857 7.5455
-2.0514 6.7843 4.0522
Nd Dy Tl
4 5 1
Cartesian
-4.5519 2.1450 10.1484 Nd
-1.0388 1.1157 4.0501 Nd
-2.1902 -0.1799 7.7534 Nd
-3.4005 3.4406 6.4450 Nd
-3.5004 -0.9129 11.2025 Dy
-2.0036 4.1853 2.9481 Dy
-3.3640 -0.4547 1.8536 Dy
-3.4884 -1.5948 4.9462 Dy
-2.0155 4.8672 9.2045 Dy
-0.9071 -0.1226 0.4998 Tl
```

Energy = -43.50 eV per cell
DOS at the Fermi energy = 1.420 states/eV per atom


The following is a DFT calculation (GGA-PBE) of a geometry-optimized NdDy4Tl2 structure.

Structure (POSCAR):
```
NdDy4Tl2
1.0
5.3157 0.0000 1.1158
2.9270 8.2369 -0.7244
0.5518 -3.9716 10.5912
Nd Dy Tl
2 8 4
Cartesian
6.0566 -2.6554 10.8066 Nd
2.7380 6.9207 0.1760 Nd
3.4884 -0.3365 9.8216 Dy
5.3062 4.6019 1.1611 Dy
4.7590 1.9056 3.7683 Dy
1.2756 -0.3766 7.1433 Dy
4.0356 2.3597 7.2143 Dy
6.8158 5.1848 7.1894 Dy
7.5190 4.6419 3.8393 Dy
1.9788 -0.9194 3.7932 Dy
2.4396 1.4041 1.5976 Tl
4.3124 -0.4690 5.8956 Tl
4.4821 4.7343 5.0871 Tl
6.3550 2.8612 9.3850 Tl
```

Energy = -57.49 eV per cell
DOS at the Fermi energy = 1.063 states/eV per atom


The following is a DFT calculation (GGA-PBE) of a geometry-optimized Nd3Dy4Tl structure.

Structure (POSCAR):
```
Nd3Dy4Tl
1.0
-1.5667 3.7239 1.0289
0.9995 -0.6818 3.9896
13.0000 6.0819 -2.2174
Nd Dy Tl
3 4 1
Cartesian
9.4974 6.0970 0.8409 Nd
6.2164 4.5620 1.4006 Nd
2.9354 3.0270 1.9602 Nd
11.5614 5.4089 -1.9721 Dy
1.4386 0.6730 -0.2454 Dy
8.2167 3.8441 -1.4015 Dy
4.7832 2.2378 -0.8159 Dy
-0.2836 1.5210 2.5093 Tl
```

Energy = -34.99 eV per cell
DOS at the Fermi energy = 1.544 states/eV per atom


The following is a DFT calculation (GGA-PBE) of a geometry-optimized NdDy4Tl2 structure.

Structure (POSCAR):
```
NdDy4Tl2
1.0
4.9269 0.0000 0.0000
0.0000 9.4708 0.0000
0.0000 0.0000 9.4708
Dy Nd Tl
8 2 4
Cartesian
2.4634 5.7587 1.3699 Dy
0.0000 1.0234 3.3655 Dy
2.4634 1.3699 5.7587 Dy
0.0000 8.4474 6.1053 Dy
2.4634 3.7120 8.1008 Dy
0.0000 6.1053 8.4474 Dy
0.0000 3.3655 1.0234 Dy
2.4634 8.1008 3.7120 Dy
0.0000 4.7354 4.7354 Nd
2.4634 0.0000 0.0000 Nd
0.0000 1.7046 7.7662 Tl
0.0000 7.7662 1.7046 Tl
2.4634 3.0308 3.0308 Tl
2.4634 6.4400 6.4400 Tl
```

Energy = -57.48 eV per cell
DOS at the Fermi energy = 1.288 states/eV per atom


The following is a DFT calculation (GGA-PBE) of a geometry-optimized Nd2Dy8Tl structure.

Structure (POSCAR):
```
Nd2Dy8Tl
1.0
5.3613 0.0000 -1.5391
-0.1303 6.4638 -0.4539
0.0102 -0.1787 10.1429
Dy Nd Tl
8 2 1
Cartesian
5.0416 4.5611 7.4549 Dy
1.7126 5.5471 5.9658 Dy
2.2192 2.4358 7.7306 Dy
4.5270 1.1157 5.6622 Dy
0.1995 1.7240 0.6950 Dy
3.5286 0.7380 2.1841 Dy
3.0219 3.8493 0.4194 Dy
0.7142 5.1694 2.4878 Dy
3.9716 4.2161 3.7276 Nd
1.2695 2.0690 4.4224 Nd
2.6806 0.0000 -0.7695 Tl
```

Energy = -48.97 eV per cell
DOS at the Fermi energy = 1.440 states/eV per atom


The following is a DFT calculation (GGA-PBE) of a geometry-optimized Nd2Dy3Tl7 structure.

Structure (POSCAR):
```
Nd2Dy3Tl7
1.0
5.4359 0.0000 0.0000
0.0000 5.3237 0.0000
0.0000 -2.6619 12.9123
Tl Dy Nd
7 3 2
Cartesian
2.7179 0.0000 2.0109 Tl
0.0000 0.0000 0.0000 Tl
0.0000 0.0000 11.0359 Tl
2.7179 2.6619 10.9014 Tl
0.0000 0.0000 7.2250 Tl
0.0000 2.6619 1.8764 Tl
0.0000 2.6619 5.6873 Tl
2.7179 2.6619 0.0000 Dy
2.7179 2.6619 3.8725 Dy
2.7179 0.0000 9.0398 Dy
0.0000 0.0000 3.8847 Nd
0.0000 2.6619 9.0276 Nd
```

Energy = -41.17 eV per cell
DOS at the Fermi energy = 0.738 states/eV per atom


The following is a DFT calculation (GGA-PBE) of a geometry-optimized Nd6Dy3Tl structure.

Structure (POSCAR):
```
Nd6Dy3Tl
1.0
3.6353 0.0000 0.0000
0.0000 12.3509 -1.5108
0.0000 0.7834 14.9200
Nd Dy Tl
12 6 2
Cartesian
0.9088 7.6623 12.4416 Nd
2.7265 4.2935 10.7167 Nd
0.9088 2.6681 2.4981 Nd
0.9088 5.1333 7.5685 Nd
2.7265 8.0010 5.8408 Nd
2.7265 1.3906 -0.1361 Nd
0.9088 10.4874 7.8348 Nd
2.7265 10.4662 10.9111 Nd
2.7265 5.4720 0.9677 Nd
0.9088 11.7437 13.5454 Nd
2.7265 2.6469 5.5745 Nd
0.9088 8.8407 2.6925 Nd
2.7265 11.4397 4.8872 Dy
2.7265 11.8596 1.5126 Dy
2.7265 7.6173 9.3034 Dy
0.9088 5.5170 4.1058 Dy
0.9088 1.6946 8.5221 Dy
0.9088 1.2747 11.8967 Dy
0.9088 4.5768 13.5659 Tl
2.7265 8.5575 -0.1566 Tl
```

Energy = -89.18 eV per cell
DOS at the Fermi energy = 1.374 states/eV per atom


The following is a DFT calculation (GGA-PBE) of a geometry-optimized Nd3Dy3Tl2 structure.

Structure (POSCAR):
```
Nd3Dy3Tl2
1.0
-4.7462 -0.4182 1.0546
-0.0840 -4.4219 -2.1316
2.3109 -4.2457 8.7164
Nd Dy Tl
3 3 2
Cartesian
-0.0420 -2.2110 -1.0658 Nd
1.1135 -4.3338 3.2924 Nd
-1.2176 -2.3320 4.8855 Nd
-1.8416 -3.4738 1.6247 Dy
-2.3731 -0.2091 0.5273 Dy
-0.6777 -5.6121 6.0147 Dy
0.5691 -1.0456 2.1465 Tl
1.7418 -3.2002 6.5699 Tl
```

Energy = -34.36 eV per cell
DOS at the Fermi energy = 1.558 states/eV per atom


The following is a DFT calculation (GGA-PBE) of a geometry-optimized Nd8Dy3Tl structure.

Structure (POSCAR):
```
Nd8Dy3Tl
1.0
-0.9055 6.7510 -5.0617
4.3096 -6.6748 -2.9817
-6.8999 -4.6092 1.7785
Tl Nd Dy
1 8 3
Cartesian
0.0000 0.0000 0.0000 Tl
-2.4261 -5.3380 -3.3967 Nd
-1.0000 3.5965 -3.9155 Nd
-1.2231 -2.5857 -1.7582 Nd
-0.4942 -8.6787 -1.5074 Nd
1.5007 -5.9087 -1.7402 Nd
-1.1791 0.3282 -2.9189 Nd
-3.9816 -4.8985 0.5879 Nd
-3.3686 -8.1490 -0.2868 Nd
-4.5502 -1.7501 -1.9424 Dy
-1.2951 -5.6420 -0.6016 Dy
1.0545 -2.7829 -4.3225 Dy
```

Energy = -48.87 eV per cell
DOS at the Fermi energy = 1.451 states/eV per atom


The following is a DFT calculation (GGA-PBE) of a geometry-optimized Nd2Dy4Tl5 structure.

Structure (POSCAR):
```
Nd2Dy4Tl5
1.0
-6.5766 0.6040 -1.0814
-2.4177 -0.0270 -6.0193
-4.2728 -9.6305 -0.1007
Dy Tl Nd
4 5 2
Cartesian
-6.2461 -2.2110 -4.6633 Dy
-10.0049 -6.6556 -4.9937 Dy
-3.2622 -2.3979 -2.2076 Dy
-7.0209 -6.8426 -2.5380 Dy
-4.4971 0.2885 -3.5503 Tl
-4.9894 -4.6778 -3.3303 Tl
-3.2883 0.3020 -0.5407 Tl
-8.2777 -4.3758 -3.8710 Tl
-1.2088 -0.0135 -3.0096 Tl
-6.9407 -3.0690 -0.9187 Nd
-3.9087 -5.9575 -0.2634 Nd
```

Energy = -40.27 eV per cell
DOS at the Fermi energy = 1.548 states/eV per atom


The following is a DFT calculation (GGA-PBE) of a geometry-optimized Nd7DyTl4 structure.

Structure (POSCAR):
```
Nd7DyTl4
1.0
-1.3006 3.9264 -4.2303
-9.0882 2.5172 0.9932
-0.0371 7.5285 2.8619
Nd Tl Dy
7 4 1
Cartesian
-0.6503 1.9632 -2.1151 Nd
-9.0783 9.2972 -0.9913 Nd
-6.4689 8.6898 1.7799 Nd
-4.8277 10.1701 -1.4879 Nd
-3.9570 5.2823 -2.1551 Nd
-1.3476 4.6749 0.6161 Nd
-5.5982 3.8020 1.1128 Nd
-3.0997 7.5746 -0.2910 Tl
-6.9764 11.6125 0.5114 Tl
-7.3262 6.3975 -0.0841 Tl
-3.4495 2.3596 -0.8866 Tl
0.0000 0.0000 0.0000 Dy
```

Energy = -48.27 eV per cell
DOS at the Fermi energy = 1.086 states/eV per atom